*P*
Entry from Alexandria via LeMat-Bulk: an optimized crystal structure of ZrPCO2 (PBE).

Computed properties:
Space group = P4/mmm (123)
Calculated volume = 90.4 Å³ per cell
Spin magnetization = 0.3 μB per formula unit

extended XYZ file:
```
5
Lattice="3.960 0.000 0.000 0.000 3.960 0.000 0.000 0.000 5.761" Properties=species:S:1:pos:R:3 pbc="T T T"
Zr 0.000 0.000 0.000
P 0.000 0.000 2.881
C 1.980 1.980 2.881
O 0.000 1.980 0.000
O 1.980 0.000 0.000
```

***

*Q*
Entry from Alexandria via LeMat-Bulk: an optimized crystal structure of ZrPCO2 (PBE).

Computed properties:
Space group = P4/mmm (123)
Calculated volume = 54.5 Å³ per cell
Spin magnetization = 0.0 μB per formula unit

extended XYZ file:
```
5
Lattice="3.779 0.000 0.000 0.000 3.779 0.000 0.000 0.000 3.814" Properties=species:S:1:pos:R:3 pbc="T T T"
Zr 0.000 0.000 0.000
P 1.889 1.889 0.000
C 1.889 1.889 1.907
O 0.000 1.889 1.907
O 1.889 0.000 1.907
```

***

Most stable: *Q* (next structure +12.2 kJ/mol of atoms)

***

*P*
Entry from Alexandria via LeMat-Bulk: an optimized crystal structure of PbCO2 (PBE).

Computed properties:
Space group = R-3m (166)
Calculated volume = 318.4 Å³ per cell
Spin magnetization = 0.0 μB per formula unit

extended XYZ file:
```
12
Lattice="3.398 0.000 0.000 -1.699 2.943 0.000 0.000 0.000 31.833" Properties=species:S:1:pos:R:3 pbc="T T T"
Pb 0.000 0.000 0.000
Pb 0.000 1.962 21.222
Pb 1.699 0.981 10.611
C 0.000 0.000 15.917
C 0.000 1.962 5.306
C 1.699 0.981 26.528
O 0.000 0.000 14.739
O 0.000 0.000 17.094
O 0.000 1.962 4.128
O 0.000 1.962 6.483
O 1.699 0.981 25.350
O 1.699 0.981 27.705
```

***

*Q*
Entry from Alexandria via LeMat-Bulk: an optimized crystal structure of PbCO2 (PBE).

Computed properties:
Space group = R-3m (166)
Calculated volume = 155.7 Å³ per cell
Spin magnetization = 0.0 μB per formula unit

extended XYZ file:
```
12
Lattice="2.988 0.000 0.000 -1.494 2.587 0.000 0.000 0.000 20.143" Properties=species:S:1:pos:R:3 pbc="T T T"
Pb 0.000 0.000 0.000
Pb 0.000 1.725 13.428
Pb 1.494 0.862 6.714
C 0.000 0.000 10.071
C 0.000 1.725 3.357
C 1.494 0.862 16.785
O 0.000 0.000 2.465
O 0.000 0.000 17.678
O 0.000 1.725 10.964
O 0.000 1.725 15.893
O 1.494 0.862 4.250
O 1.494 0.862 9.179
```

***

Most stable: *P* (next structure +179.4 kJ/mol of atoms)

***

*P*
Entry from Alexandria via LeMat-Bulk: an optimized crystal structure of PbCO2 (PBE).

Computed properties:
Space group = Fd-3m (227)
Calculated volume = 102.4 Å³ per cell
Spin magnetization = 0.0 μB per formula unit

extended XYZ file:
```
8
Lattice="0.000 3.713 3.713 3.713 0.000 3.713 3.713 3.713 0.000" Properties=species:S:1:pos:R:3 pbc="T T T"
Pb 0.928 0.928 0.928
Pb 6.498 6.498 6.498
C 2.785 2.785 2.785
C 4.641 4.641 4.641
O 3.713 1.857 1.857
O 1.857 3.713 1.857
O 1.857 1.857 3.713
O 3.713 3.713 3.713
```

***

*Q*
Entry from Alexandria via LeMat-Bulk: an optimized crystal structure of PbCO2 (PBE).

Computed properties:
Space group = Fm-3m (225)
Calculated volume = 192.8 Å³ per cell
Spin magnetization = 0.0 μB per formula unit

extended XYZ file:
```
16
Lattice="5.777 0.000 0.000 0.000 5.777 0.000 0.000 0.000 5.777" Properties=species:S:1:pos:R:3 pbc="T T T"
Pb 0.000 0.000 0.000
Pb 0.000 2.888 2.888
Pb 2.888 0.000 2.888
Pb 2.888 2.888 0.000
C 0.000 0.000 2.888
C 0.000 2.888 0.000
C 2.888 0.000 0.000
C 2.888 2.888 2.888
O 1.444 1.444 1.444
O 1.444 1.444 4.333
O 1.444 4.333 1.444
O 1.444 4.333 4.333
O 4.333 1.444 1.444
O 4.333 1.444 4.333
O 4.333 4.333 1.444
O 4.333 4.333 4.333
```

***

Most stable: *P* (next structure +70.2 kJ/mol of atoms)

***

*P*
Entry from Alexandria via LeMat-Bulk: an optimized crystal structure of Pb2CO6 (PBE).

Computed properties:
Space group = R3m (160)
Calculated volume = 165.4 Å³ per cell
Spin magnetization = 3.1 μB per formula unit

extended XYZ file:
```
9
Lattice="2.436 1.406 8.045 -2.436 1.406 8.045 0.000 -2.813 8.045" Properties=species:S:1:pos:R:3 pbc="T T T"
Pb 0.000 0.000 0.000
Pb 0.000 0.000 10.866
C 0.000 0.000 19.237
O 0.000 0.000 8.703
O -1.117 -0.645 19.214
O 0.000 0.000 16.025
O 0.000 0.000 22.010
O 1.117 -0.645 19.214
O 0.000 1.289 19.214
```

***

*Q*
Entry from Alexandria via LeMat-Bulk: an optimized crystal structure of Pb2CO6 (PBE).

Computed properties:
Space group = P4_2/mnm (136)
Calculated volume = 245.3 Å³ per cell
Spin magnetization = 0.0 μB per formula unit

extended XYZ file:
```
18
Lattice="5.265 0.000 0.000 0.000 5.265 0.000 0.000 0.000 8.851" Properties=species:S:1:pos:R:3 pbc="T T T"
Pb 0.000 0.000 1.530
Pb 0.000 0.000 7.321
Pb 2.632 2.632 2.896
Pb 2.632 2.632 5.955
C 0.000 0.000 4.425
C 2.632 2.632 0.000
O 0.797 0.797 3.356
O 0.797 0.797 5.495
O 1.024 1.024 0.000
O 1.608 3.656 4.425
O 1.836 3.429 1.070
O 1.836 3.429 7.781
O 3.429 1.836 1.070
O 3.429 1.836 7.781
O 3.656 1.608 4.425
O 4.241 4.241 0.000
O 4.468 4.468 3.356
O 4.468 4.468 5.495
```

***

Most stable: *P* (next structure +27.3 kJ/mol of atoms)